DFT (PBE) results for an optimized crystal structure of BeF4.

Output
As for the final energy: -3.686 eV per atom. As for the crystal system: cubic. As for the energy above the most stable polymorph in this dataset: 2.012 eV/f.u. As for the raw formation energy: -1.443 eV/atom.

Unit cell a=3.529 b=3.529 c=3.529 alpha=90.00 beta=90.00 gamma=90.00
Site moments in Bohr magnetons follow the coordinates.
Atoms (fractional coordinates):
Be 0.500 0.500 0.500  -0.01
F 0.000 0.000 0.000  0.88
F 0.000 0.500 0.500  0.33
F 0.500 0.500 0.000  0.33
F 0.500 0.000 0.500  0.33



DFT (PBE) results for an optimized crystal structure of GaClF2.

Output
As for the final energy: -2.811 eV per atom. As for the crystal system: cubic. As for the energy above the most stable polymorph in this dataset: 3.426 eV/f.u. As for the raw formation energy: -0.657 eV/atom.

Unit cell a=4.214 b=4.214 c=4.214 alpha=60.00 beta=60.00 gamma=60.00
Atoms (fractional coordinates):
F 0.250 0.250 0.250
F 0.750 0.750 0.750
Ga 0.500 0.500 0.500
Cl 0.000 0.000 0.000



DFT (PBE) results for an optimized crystal structure of NbFeBr6.

Output
As for the final energy: -4.139 eV per atom. As for the crystal system: monoclinic. As for the energy above the most stable polymorph in this dataset: 0.298 eV/f.u. As for the raw formation energy: -0.568 eV/atom.

Unit cell a=8.480 b=8.480 c=8.556 alpha=109.29 beta=109.09 gamma=109.67
Site moments in Bohr magnetons follow the coordinates.
Atoms (fractional coordinates):
Br 0.486 0.184 0.307  0.06
Br 0.877 0.178 0.693  0.06
Br 0.123 0.822 0.307  0.06
Br 0.192 0.697 0.889  0.14
Br 0.827 0.686 0.513  0.02
Br 0.808 0.303 0.111  0.14
Br 0.173 0.314 0.487  0.02
Br 0.697 0.876 0.190  0.06
Br 0.514 0.816 0.693  0.06
Br 0.303 0.124 0.810  0.06
Br 0.686 0.507 0.810  0.06
Br 0.314 0.493 0.190  0.06
Nb 0.000 0.000 0.500  -0.89
Nb 0.500 0.500 0.500  -0.89
Fe 0.500 0.000 0.000  3.43
Fe 0.000 0.500 0.000  3.43



DFT (PBE) results for an optimized crystal structure of Pm2HfGe4Pt3.

Output
Its energy of formation from the pure elements is -0.900 eV per atom. As for the final energy: -6.505 eV per atom. As for the crystal system: tetragonal.

Unit cell a=4.266 b=4.266 c=10.994 alpha=90.00 beta=90.00 gamma=90.00
Atoms (fractional coordinates):
Ge 0.500 0.000 0.650
Ge 0.000 0.000 0.000
Ge 0.000 0.500 0.350
Ge 0.500 0.500 0.000
Pm 0.000 0.500 0.763
Pm 0.500 0.000 0.237
Hf 0.500 0.500 0.500
Pt 0.500 0.000 0.876
Pt 0.000 0.500 0.124
Pt 0.000 0.000 0.500



DFT (PBE) results for an optimized crystal structure of Ba2ZrMoH.

Output
As for the final energy: -3.996 eV per atom. As for the crystal system: tetragonal.

Unit cell a=6.393 b=3.578 c=6.393 alpha=90.00 beta=90.00 gamma=90.00
Atoms (fractional coordinates):
Ba 0.000 0.000 0.500
Ba 0.500 0.000 0.000
Mo 0.500 0.500 0.500
Zr 0.000 0.000 0.000
H 0.000 0.500 0.000



DFT (PBE) results for an optimized crystal structure of Sm3Y12Ho.

Output
Its energy of formation from the pure elements is 0.022 eV per atom. As for the final energy: -5.997 eV per atom. As for the crystal system: tetragonal.

Unit cell a=5.061 b=5.061 c=20.253 alpha=90.00 beta=90.00 gamma=90.00
Atoms (fractional coordinates):
Y 0.500 0.000 0.374
Y 0.500 0.500 0.000
Y 0.000 0.500 0.876
Y 0.500 0.000 0.626
Y 0.000 0.500 0.374
Y 0.000 0.500 0.626
Y 0.500 0.000 0.876
Y 0.500 0.500 0.500
Y 0.500 0.500 0.249
Y 0.500 0.000 0.124
Y 0.000 0.500 0.124
Y 0.500 0.500 0.751
Sm 0.000 0.000 0.249
Sm 0.000 0.000 0.751
Sm 0.000 0.000 0.500
Ho 0.000 0.000 0.000



DFT (PBE) results for an optimized crystal structure of TbPr2ScSe6.

Output
As for the final energy: -5.981 eV per atom. As for the crystal system: monoclinic. As for the raw formation energy: -1.838 eV/atom.

Unit cell a=6.903 b=7.646 c=10.296 alpha=90.00 beta=88.97 gamma=90.00
Atoms (fractional coordinates):
Pr 0.957 0.105 0.747
Pr 0.543 0.605 0.753
Pr 0.457 0.395 0.247
Pr 0.043 0.895 0.253
Se 0.834 0.811 0.569
Se 0.680 0.322 0.569
Se 0.357 0.956 0.758
Se 0.143 0.456 0.742
Se 0.643 0.044 0.242
Se 0.180 0.178 0.069
Se 0.666 0.311 0.931
Se 0.320 0.678 0.431
Se 0.857 0.544 0.258
Se 0.166 0.189 0.431
Se 0.820 0.822 0.931
Se 0.334 0.689 0.069
Sc 0.000 0.500 0.500
Sc 0.500 0.000 0.000
Tb 0.500 0.000 0.500
Tb 0.000 0.500 0.000



DFT (PBE) results for an optimized crystal structure of CsRuNF2.

Output
As for the final energy: -5.491 eV per atom. As for the crystal system: tetragonal. As for the energy above the most stable polymorph in this dataset: 0.000 eV/f.u. As for the raw formation energy: -1.052 eV/atom.

Unit cell a=4.662 b=4.662 c=3.741 alpha=90.00 beta=90.00 gamma=90.00
Site moments in Bohr magnetons follow the coordinates.
Atoms (fractional coordinates):
Cs 0.500 0.500 0.500  0.01
F 0.500 0.000 0.000  0.02
F 0.000 0.500 0.000  0.02
Ru 0.000 0.000 0.000  0.95
N 0.000 0.000 0.500  0.08



DFT (PBE) results for an optimized crystal structure of YFe2BRu.

Output
Its energy of formation from the pure elements is -0.162 eV per atom. As for the final energy: -8.030 eV per atom. As for the crystal system: tetragonal.

Unit cell a=4.045 b=4.045 c=4.244 alpha=90.00 beta=90.00 gamma=90.00
Site moments in Bohr magnetons follow the coordinates.
Atoms (fractional coordinates):
B 0.000 0.000 0.000  -0.12
Fe 0.000 0.500 0.000  2.00
Fe 0.500 0.000 0.000  2.00
Y 0.500 0.500 0.500  -0.16
Ru 0.000 0.000 0.500  0.26



DFT (PBE) results for an optimized crystal structure of BaCo2NiPt.

Output
Its energy of formation from the pure elements is 0.553 eV per atom. As for the final energy: -5.039 eV per atom. As for the crystal system: tetragonal.

Unit cell a=4.640 b=4.776 c=4.640 alpha=90.00 beta=90.00 gamma=90.00
Site moments in Bohr magnetons follow the coordinates.
Atoms (fractional coordinates):
Pt 0.000 0.000 0.000  0.43
Ba 0.500 0.500 0.500  -0.07
Co 0.500 0.000 0.000  1.55
Co 0.000 0.000 0.500  2.27
Ni 0.000 0.500 0.000  0.65



DFT (PBE) results for an optimized crystal structure of HfHgPb.

Output
Its energy of formation from the pure elements is 0.392 eV per atom. As for the final energy: -4.262 eV per atom. As for the crystal system: trigonal. As for the energy above the most stable polymorph in this dataset: 0.776 eV/f.u.

Unit cell a=5.455 b=5.455 c=6.706 alpha=66.00 beta=66.00 gamma=60.00
Atoms (fractional coordinates):
Pb 0.169 0.169 0.494
Pb 0.831 0.831 0.506
Hg 0.662 0.662 0.015
Hg 0.338 0.338 0.985
Hf 0.000 0.000 0.000
Hf 0.500 0.500 0.500



DFT (PBE) results for an optimized crystal structure of AcHg2F6.

Output
As for the final energy: -4.250 eV per atom. As for the crystal system: monoclinic. As for the raw formation energy: -2.479 eV/atom.

Unit cell a=4.285 b=6.532 c=7.474 alpha=68.64 beta=73.34 gamma=70.85
Atoms (fractional coordinates):
F 0.378 0.692 0.551
F 0.025 0.158 0.791
F 0.975 0.842 0.209
F 0.222 0.386 0.170
F 0.778 0.614 0.830
F 0.622 0.308 0.449
Hg 0.177 0.760 0.887
Hg 0.823 0.240 0.113
Ac 0.000 0.500 0.500



DFT (PBE) results for an optimized crystal structure of EuYCd2.

Output
Its energy of formation from the pure elements is -0.343 eV per atom. As for the final energy: -4.985 eV per atom. As for the crystal system: tetragonal. As for the energy above the most stable polymorph in this dataset: 0.000 eV/f.u.

Unit cell a=3.835 b=3.835 c=7.708 alpha=90.00 beta=90.00 gamma=90.00
Site moments in Bohr magnetons follow the coordinates.
Atoms (fractional coordinates):
Cd 0.000 0.000 0.227  0.00
Cd 0.000 0.000 0.773  0.00
Eu 0.500 0.500 0.500  6.87
Y 0.500 0.500 0.000  -0.02



DFT (PBE) results for an optimized crystal structure of Sm8Ru2Rh.

Output
Its energy of formation from the pure elements is -0.251 eV per atom. As for the final energy: -6.038 eV per atom. As for the crystal system: monoclinic. As for the energy above the most stable polymorph in this dataset: 0.000 eV/f.u.

Unit cell a=4.952 b=6.946 c=9.252 alpha=105.52 beta=105.52 gamma=90.00
Atoms (fractional coordinates):
Sm 0.968 0.211 0.936
Sm 0.796 0.683 0.592
Sm 0.204 0.317 0.408
Sm 0.331 0.031 0.662
Sm 0.596 0.456 0.191
Sm 0.032 0.789 0.064
Sm 0.669 0.969 0.338
Sm 0.404 0.544 0.809
Ru 0.813 0.295 0.627
Ru 0.187 0.705 0.373
Rh 0.500 0.000 0.000



DFT (PBE) results for an optimized crystal structure of LaCe3Pr4Se8.

Output
As for the final energy: -6.218 eV per atom. As for the crystal system: trigonal. As for the raw formation energy: -1.860 eV/atom.

Unit cell a=8.498 b=8.503 c=8.497 alpha=119.98 beta=120.00 gamma=90.00
Site moments in Bohr magnetons follow the coordinates.
Atoms (fractional coordinates):
Pr 0.500 0.000 0.500  0.00
Pr 0.000 0.000 0.000  0.00
Pr 0.500 0.000 0.000  0.01
Pr 0.000 0.000 0.500  0.00
Se 0.746 0.747 0.996  -0.01
Se 0.749 0.253 0.498  -0.01
Se 0.250 0.747 0.996  -0.01
Se 0.251 0.747 0.502  -0.01
Se 0.252 0.255 0.503  -0.01
Se 0.254 0.253 0.004  -0.01
Se 0.748 0.745 0.496  -0.01
Se 0.750 0.253 0.004  -0.01
Ce 0.000 0.500 0.500  0.80
Ce 0.500 0.500 0.500  0.80
Ce 0.500 0.500 0.000  0.80
La 0.000 0.500 0.000  0.02



DFT (PBE) results for an optimized crystal structure of Li3Pu2Pd4.

Output
Its energy of formation from the pure elements is -0.386 eV per atom. As for the final energy: -6.517 eV per atom. As for the crystal system: orthorhombic.

Unit cell a=5.556 b=7.506 c=8.113 alpha=90.00 beta=110.02 gamma=90.00
Site moments in Bohr magnetons follow the coordinates.
Atoms (fractional coordinates):
Pu 0.894 0.406 0.788  5.27
Pu 0.394 0.094 0.788  5.27
Pu 0.606 0.906 0.212  5.27
Pu 0.106 0.594 0.212  5.27
Pd 0.810 0.250 0.120  -0.03
Pd 0.172 0.973 0.345  -0.04
Pd 0.828 0.027 0.655  -0.04
Pd 0.690 0.750 0.880  -0.03
Pd 0.190 0.750 0.880  -0.03
Pd 0.328 0.473 0.655  -0.04
Pd 0.310 0.250 0.120  -0.03
Pd 0.672 0.527 0.345  -0.04
Li 0.527 0.750 0.553  0.01
Li 0.027 0.750 0.553  0.01
Li 0.973 0.250 0.447  0.01
Li 0.500 0.500 0.000  0.01
Li 0.473 0.250 0.447  0.01
Li 0.000 0.000 0.000  0.01



DFT (PBE) results for an optimized crystal structure of Ni2HgCl.

Output
As for the final energy: -3.062 eV per atom. As for the crystal system: tetragonal. As for the energy above the most stable polymorph in this dataset: 1.145 eV/f.u. As for the raw formation energy: 0.366 eV/atom.

Unit cell a=3.036 b=3.036 c=6.625 alpha=90.00 beta=90.00 gamma=90.00
Site moments in Bohr magnetons follow the coordinates.
Atoms (fractional coordinates):
Hg 0.500 0.500 0.750  -0.01
Cl 0.500 0.500 0.250  0.06
Ni 0.000 0.000 0.487  0.33
Ni 0.000 0.000 0.013  0.33



DFT (PBE) results for an optimized crystal structure of Au3C.

Output
Its energy of formation from the pure elements is 1.077 eV per atom. As for the final energy: -3.687 eV per atom. As for the crystal system: monoclinic. As for the energy above the most stable polymorph in this dataset: 2.070 eV/f.u.

Unit cell a=3.204 b=3.204 c=7.251 alpha=77.51 beta=77.51 gamma=61.82
Atoms (fractional coordinates):
Au 0.735 0.735 0.805
Au 0.500 0.500 0.500
Au 0.265 0.265 0.195
C 0.000 0.000 0.000



DFT (PBE) results for an optimized crystal structure of Ni2PtRh.

Output
Its energy of formation from the pure elements is 0.121 eV per atom. As for the final energy: -6.118 eV per atom. As for the crystal system: monoclinic.

Unit cell a=4.641 b=5.132 c=2.645 alpha=75.49 beta=89.09 gamma=116.62
Site moments in Bohr magnetons follow the coordinates.
Atoms (fractional coordinates):
Pt 0.000 0.500 0.500  0.15
Ni 0.500 0.000 0.500  0.72
Ni 0.000 0.000 0.000  0.72
Rh 0.500 0.500 0.000  0.42



DFT (PBE) results for an optimized crystal structure of Na4I3N2.

Output
As for the final energy: -3.748 eV per atom. As for the crystal system: monoclinic. As for the raw formation energy: -0.795 eV/atom.

Unit cell a=8.876 b=8.684 c=8.459 alpha=120.88 beta=90.02 gamma=90.00
Site moments in Bohr magnetons follow the coordinates.
Atoms (fractional coordinates):
Na 0.536 0.288 0.110  0.01
Na 0.644 0.243 0.569  0.01
Na 0.356 0.757 0.431  0.01
Na 0.464 0.712 0.890  0.01
Na 0.036 0.822 0.110  0.01
Na 0.964 0.178 0.890  0.01
Na 0.856 0.673 0.431  0.01
Na 0.144 0.327 0.569  0.01
N 0.990 0.928 0.435  0.27
N 0.010 0.072 0.565  0.27
N 0.510 0.493 0.565  0.27
N 0.490 0.507 0.435  0.27
I 0.750 0.549 0.000  0.00
I 0.875 0.249 0.276  0.00
I 0.250 0.451 0.000  0.00
I 0.375 0.027 0.276  0.00
I 0.125 0.751 0.724  0.00
I 0.625 0.973 0.724  0.00



DFT (PBE) results for an optimized crystal structure of NaHo3Pu2Te6.

Output
As for the final energy: -6.437 eV per atom. As for the crystal system: monoclinic. As for the raw formation energy: -1.223 eV/atom.

Unit cell a=4.369 b=8.871 c=9.881 alpha=103.66 beta=102.77 gamma=90.00
Site moments in Bohr magnetons follow the coordinates.
Atoms (fractional coordinates):
Ho 0.167 0.830 0.334  0.05
Ho 0.833 0.170 0.666  0.05
Ho 0.500 0.500 0.000  0.06
Pu 0.833 0.667 0.666  5.59
Pu 0.167 0.333 0.334  5.59
Te 0.335 0.415 0.670  -0.04
Te 0.665 0.585 0.330  -0.04
Te 0.332 0.924 0.664  -0.03
Te 0.002 0.746 0.005  -0.01
Te 0.668 0.076 0.336  -0.03
Te 0.998 0.254 0.995  -0.01
Na 0.500 0.000 0.000  0.00



DFT (PBE) results for an optimized crystal structure of Pr8Sn2Au.

Output
Its energy of formation from the pure elements is -0.418 eV per atom. As for the final energy: -4.920 eV per atom. As for the crystal system: monoclinic.

Unit cell a=5.228 b=7.043 c=10.364 alpha=104.66 beta=104.61 gamma=90.00
Atoms (fractional coordinates):
Sn 0.180 0.752 0.360
Sn 0.820 0.248 0.640
Pr 0.215 0.319 0.430
Pr 0.785 0.681 0.570
Pr 0.016 0.777 0.033
Pr 0.593 0.475 0.186
Pr 0.407 0.525 0.814
Pr 0.653 0.996 0.306
Pr 0.347 0.004 0.694
Pr 0.984 0.223 0.967
Au 0.500 0.000 0.000



DFT (PBE) results for an optimized crystal structure of TiAl2TlRh.

Output
Its energy of formation from the pure elements is -0.019 eV per atom. As for the final energy: -5.038 eV per atom. As for the crystal system: tetragonal.

Unit cell a=4.711 b=4.867 c=4.711 alpha=90.00 beta=90.00 gamma=90.00
Atoms (fractional coordinates):
Ti 0.000 0.500 0.000
Rh 0.000 0.000 0.000
Al 0.000 0.000 0.500
Al 0.500 0.000 0.000
Tl 0.500 0.500 0.500